Record 1
The following is a PBE calculation of a geometry-optimized MnVCl structure, from Alexandria via LeMat-Bulk.

Output
Energy relative to the elements, uncorrected   0.10 eV per atom
DFT total energy   -6.61 eV/atom

Cell and atoms, written as CIF:
```
data_MnVCl
_cell_length_a 3.081
_cell_length_b 3.081
_cell_length_c 12.219
_cell_angle_alpha 90.00
_cell_angle_beta 90.00
_cell_angle_gamma 120.00
_space_group_name_H-M_alt 'P 1'
_space_group_IT_number 1
_space_group_name_Hall 'P 1'
loop_
_atom_site_label
_atom_site_type_symbol
_atom_site_fract_x
_atom_site_fract_y
_atom_site_fract_z
V1 V 0.334 0.669 0.000
V2 V 0.332 0.664 0.500
Mn1 Mn 0.668 0.335 0.847
Mn2 Mn 0.668 0.335 0.153
Cl1 Cl 0.333 0.665 0.691
Cl2 Cl 0.333 0.665 0.309
```



Record 2
The following is a PBE calculation of a geometry-optimized CaSc2Au structure, from Alexandria via LeMat-Bulk.

Output
DFT total energy   -4.61 eV/atom

Cell and atoms, written as CIF:
```
data_CaSc2Au
_cell_length_a 5.785
_cell_length_b 5.785
_cell_length_c 5.785
_cell_angle_alpha 135.46
_cell_angle_beta 135.46
_cell_angle_gamma 64.82
_space_group_name_H-M_alt 'P 1'
_space_group_IT_number 1
_space_group_name_Hall 'P 1'
loop_
_atom_site_label
_atom_site_type_symbol
_atom_site_fract_x
_atom_site_fract_y
_atom_site_fract_z
Sc1 Sc 0.000 0.000 0.000
Sc2 Sc 0.250 0.750 0.500
Ca1 Ca 0.750 0.250 0.500
Au1 Au 0.500 0.500 0.000
```



Record 3
The following is a PBE calculation of a geometry-optimized DyTm3Si4 structure, from Alexandria via LeMat-Bulk.

Output
Energy relative to the elements, uncorrected   -0.53 eV per atom
DFT total energy   -5.49 eV/atom

Cell and atoms, written as CIF:
```
data_DyTm3Si4
_cell_length_a 3.896
_cell_length_b 6.219
_cell_length_c 8.537
_cell_angle_alpha 111.37
_cell_angle_beta 103.19
_cell_angle_gamma 90.00
_space_group_name_H-M_alt 'P 1'
_space_group_IT_number 1
_space_group_name_Hall 'P 1'
loop_
_atom_site_label
_atom_site_type_symbol
_atom_site_fract_x
_atom_site_fract_y
_atom_site_fract_z
Dy1 Dy 0.500 0.000 0.000
Tm1 Tm 0.000 0.500 0.000
Tm2 Tm 0.195 0.195 0.389
Tm3 Tm 0.805 0.805 0.611
Si1 Si 0.368 0.554 0.735
Si2 Si 0.632 0.446 0.265
Si3 Si 0.632 0.819 0.265
Si4 Si 0.368 0.181 0.735
```



Record 4
The following is a PBE calculation of a geometry-optimized TmV4Tc structure, from Alexandria via LeMat-Bulk.

Output
DFT total energy   -8.43 eV/atom

Cell and atoms, written as CIF:
```
data_TmV4Tc
_cell_length_a 5.099
_cell_length_b 5.099
_cell_length_c 5.099
_cell_angle_alpha 60.00
_cell_angle_beta 60.00
_cell_angle_gamma 60.00
_space_group_name_H-M_alt 'P 1'
_space_group_IT_number 1
_space_group_name_Hall 'P 1'
loop_
_atom_site_label
_atom_site_type_symbol
_atom_site_fract_x
_atom_site_fract_y
_atom_site_fract_z
Tm1 Tm 0.000 0.000 0.000
Tc1 Tc 0.250 0.250 0.250
V1 V 0.625 0.625 0.124
V2 V 0.625 0.124 0.625
V3 V 0.625 0.625 0.625
V4 V 0.124 0.625 0.625
```



Record 5
The following is a PBE calculation of a geometry-optimized MgBe3Tl structure, from Alexandria via LeMat-Bulk.

Output
DFT total energy   -1.87 eV/atom

Cell and atoms, written as CIF:
```
data_MgBe3Tl
_cell_length_a 4.609
_cell_length_b 4.609
_cell_length_c 4.609
_cell_angle_alpha 90.00
_cell_angle_beta 90.00
_cell_angle_gamma 90.00
_space_group_name_H-M_alt 'P 1'
_space_group_IT_number 1
_space_group_name_Hall 'P 1'
loop_
_atom_site_label
_atom_site_type_symbol
_atom_site_fract_x
_atom_site_fract_y
_atom_site_fract_z
Be1 Be 0.000 0.500 0.000
Be2 Be 0.000 0.000 0.500
Be3 Be 0.500 0.000 0.000
Tl1 Tl 0.000 0.000 0.000
Mg1 Mg 0.500 0.500 0.500
```



Record 6
The following is a PBE calculation of a geometry-optimized Zn2PClF structure, from Alexandria via LeMat-Bulk.

Output
Energy relative to the elements, uncorrected   0.32 eV per atom
DFT total energy   -2.02 eV/atom

Cell and atoms, written as CIF:
```
data_Zn2PClF
_cell_length_a 4.806
_cell_length_b 4.092
_cell_length_c 4.806
_cell_angle_alpha 90.00
_cell_angle_beta 90.00
_cell_angle_gamma 90.00
_space_group_name_H-M_alt 'P 1'
_space_group_IT_number 1
_space_group_name_Hall 'P 1'
loop_
_atom_site_label
_atom_site_type_symbol
_atom_site_fract_x
_atom_site_fract_y
_atom_site_fract_z
P1 P 0.500 0.500 0.500
Zn1 Zn 0.000 0.000 0.500
Zn2 Zn 0.500 0.000 0.000
F1 F 0.000 0.500 0.000
Cl1 Cl 0.000 0.000 0.000
```



Record 7
The following is a PBE calculation of a geometry-optimized HoNi4C structure, from Alexandria via LeMat-Bulk.

Output
DFT total energy   -6.23 eV/atom

Cell and atoms, written as CIF:
```
data_HoNi4C
_cell_length_a 3.443
_cell_length_b 6.145
_cell_length_c 6.840
_cell_angle_alpha 90.00
_cell_angle_beta 90.00
_cell_angle_gamma 90.00
_space_group_name_H-M_alt 'P 1'
_space_group_IT_number 1
_space_group_name_Hall 'P 1'
loop_
_atom_site_label
_atom_site_type_symbol
_atom_site_fract_x
_atom_site_fract_y
_atom_site_fract_z
Ho1 Ho 0.000 0.589 0.750
Ho2 Ho 0.000 0.411 0.250
Ni1 Ni 0.000 0.000 0.500
Ni2 Ni 0.000 0.000 0.000
Ni3 Ni 0.500 0.956 0.750
Ni4 Ni 0.500 0.044 0.250
Ni5 Ni 0.500 0.711 0.066
Ni6 Ni 0.500 0.289 0.934
Ni7 Ni 0.500 0.711 0.434
Ni8 Ni 0.500 0.289 0.566
C1 C 0.000 0.150 0.750
C2 C 0.000 0.850 0.250
```



Record 8
The following is a PBE calculation of a geometry-optimized CeErTlPb structure, from Alexandria via LeMat-Bulk.

Output
DFT total energy   -4.46 eV/atom

Cell and atoms, written as CIF:
```
data_CeErTlPb
_cell_length_a 5.454
_cell_length_b 5.454
_cell_length_c 5.454
_cell_angle_alpha 60.00
_cell_angle_beta 60.00
_cell_angle_gamma 60.00
_space_group_name_H-M_alt 'P 1'
_space_group_IT_number 1
_space_group_name_Hall 'P 1'
loop_
_atom_site_label
_atom_site_type_symbol
_atom_site_fract_x
_atom_site_fract_y
_atom_site_fract_z
Pb1 Pb 0.000 0.000 0.000
Tl1 Tl 0.500 0.500 0.500
Ce1 Ce 0.750 0.750 0.750
Er1 Er 0.250 0.250 0.250
```



Record 9
The following is a PBE calculation of a geometry-optimized CrIr2Br structure, from Alexandria via LeMat-Bulk.

Output
Energy relative to the elements, uncorrected   0.94 eV per atom
DFT total energy   -6.31 eV/atom

Cell and atoms, written as CIF:
```
data_CrIr2Br
_cell_length_a 6.058
_cell_length_b 6.058
_cell_length_c 6.234
_cell_angle_alpha 60.93
_cell_angle_beta 60.93
_cell_angle_gamma 90.00
_space_group_name_H-M_alt 'P 1'
_space_group_IT_number 1
_space_group_name_Hall 'P 1'
loop_
_atom_site_label
_atom_site_type_symbol
_atom_site_fract_x
_atom_site_fract_y
_atom_site_fract_z
Cr1 Cr 0.500 0.500 0.000
Cr2 Cr 0.250 0.750 0.500
Ir1 Ir 0.585 0.125 0.250
Ir2 Ir 0.165 0.625 0.250
Ir3 Ir 0.375 0.415 0.750
Ir4 Ir 0.875 0.835 0.750
Br1 Br 0.000 0.000 0.000
Br2 Br 0.750 0.250 0.500
```



Record 10
The following is a PBE calculation of a geometry-optimized Li5Ac3Te12 structure, from Alexandria via LeMat-Bulk.

Output
Energy relative to the elements, uncorrected   -0.64 eV per atom
DFT total energy   -3.62 eV/atom

Cell and atoms, written as CIF:
```
data_Li5Ac3Te12
_cell_length_a 15.247
_cell_length_b 15.247
_cell_length_c 15.247
_cell_angle_alpha 109.47
_cell_angle_beta 109.47
_cell_angle_gamma 109.47
_space_group_name_H-M_alt 'P 1'
_space_group_IT_number 1
_space_group_name_Hall 'P 1'
loop_
_atom_site_label
_atom_site_type_symbol
_atom_site_fract_x
_atom_site_fract_y
_atom_site_fract_z
Ac1 Ac 0.750 0.375 0.125
Ac2 Ac 0.875 0.750 0.125
Ac3 Ac 0.375 0.750 0.625
Ac4 Ac 0.250 0.125 0.375
Ac5 Ac 0.875 0.125 0.250
Ac6 Ac 0.375 0.625 0.250
Ac7 Ac 0.625 0.375 0.750
Ac8 Ac 0.125 0.875 0.750
Ac9 Ac 0.750 0.875 0.625
Ac10 Ac 0.625 0.250 0.375
Ac11 Ac 0.125 0.250 0.875
Ac12 Ac 0.250 0.625 0.875
Te1 Te 0.711 0.120 0.036
Te2 Te 0.325 0.536 0.416
Te3 Te 0.964 0.380 0.289
Te4 Te 0.536 0.211 0.120
Te5 Te 0.591 0.711 0.675
Te6 Te 0.964 0.584 0.175
Te7 Te 0.325 0.789 0.409
Te8 Te 0.084 0.909 0.120
Te9 Te 0.584 0.964 0.675
Te10 Te 0.711 0.591 0.175
Te11 Te 0.789 0.464 0.380
Te12 Te 0.825 0.916 0.036
Te13 Te 0.120 0.711 0.536
Te14 Te 0.380 0.416 0.091
Te15 Te 0.091 0.916 0.380
Te16 Te 0.409 0.120 0.584
Te17 Te 0.091 0.175 0.211
Te18 Te 0.464 0.675 0.084
Te19 Te 0.825 0.909 0.289
Te20 Te 0.120 0.409 0.084
Te21 Te 0.380 0.964 0.789
Te22 Te 0.584 0.620 0.409
Te23 Te 0.916 0.825 0.536
Te24 Te 0.789 0.325 0.909
Te25 Te 0.416 0.380 0.591
Te26 Te 0.084 0.175 0.464
Te27 Te 0.211 0.675 0.091
Te28 Te 0.175 0.091 0.711
Te29 Te 0.620 0.036 0.211
Te30 Te 0.880 0.591 0.916
Te31 Te 0.536 0.325 0.916
Te32 Te 0.591 0.880 0.416
Te33 Te 0.909 0.825 0.789
Te34 Te 0.909 0.084 0.620
Te35 Te 0.880 0.289 0.464
Te36 Te 0.175 0.084 0.964
Te37 Te 0.620 0.584 0.909
Te38 Te 0.416 0.036 0.325
Te39 Te 0.289 0.409 0.825
Te40 Te 0.211 0.536 0.620
Te41 Te 0.916 0.091 0.880
Te42 Te 0.675 0.211 0.591
Te43 Te 0.464 0.789 0.880
Te44 Te 0.036 0.416 0.825
Te45 Te 0.409 0.289 0.325
Te46 Te 0.036 0.620 0.711
Te47 Te 0.675 0.464 0.584
Te48 Te 0.289 0.880 0.964
Li1 Li 0.125 0.375 0.250
Li2 Li 0.000 0.500 0.000
Li3 Li 0.000 0.000 0.000
Li4 Li 0.375 0.250 0.125
Li5 Li 0.500 0.000 0.500
Li6 Li 0.500 0.500 0.000
Li7 Li 0.125 0.750 0.375
Li8 Li 0.750 0.125 0.875
Li9 Li 0.750 0.625 0.375
Li10 Li 0.375 0.125 0.750
Li11 Li 0.625 0.875 0.250
Li12 Li 0.500 0.500 0.500
Li13 Li 0.500 0.000 0.000
Li14 Li 0.000 0.000 0.500
Li15 Li 0.250 0.375 0.625
Li16 Li 0.250 0.875 0.125
Li17 Li 0.000 0.500 0.500
Li18 Li 0.875 0.250 0.625
Li19 Li 0.625 0.750 0.875
Li20 Li 0.875 0.625 0.750
```



Record 11
The following is a PBE calculation of a geometry-optimized HfCoPd structure, from Alexandria via LeMat-Bulk.

Output
DFT total energy   -7.74 eV/atom

Cell and atoms, written as CIF:
```
data_HfCoPd
_cell_length_a 3.212
_cell_length_b 3.212
_cell_length_c 10.133
_cell_angle_alpha 99.12
_cell_angle_beta 99.12
_cell_angle_gamma 90.00
_space_group_name_H-M_alt 'P 1'
_space_group_IT_number 1
_space_group_name_Hall 'P 1'
loop_
_atom_site_label
_atom_site_type_symbol
_atom_site_fract_x
_atom_site_fract_y
_atom_site_fract_z
Pd1 Pd 0.066 0.066 0.132
Pd2 Pd 0.934 0.934 0.868
Hf1 Hf 0.643 0.643 0.285
Hf2 Hf 0.357 0.357 0.715
Co1 Co 0.783 0.783 0.566
Co2 Co 0.217 0.217 0.434
```